Entry from the Alexandria database: a relaxed TiCoIrO6 crystal (PBE with a Hubbard U).

Computed properties:
Crystal system ... trigonal
Raw total energy ... -129.305 eV/cell
DOS(E_F) ... 10.16 states/eV/cell

Cell and atoms, written as POSCAR:
```
TiCoIrO6
1.0
5.040 0.000 0.000
-2.520 4.364 0.000
0.000 0.000 8.840
Ir Ti Co O
2 2 2 12
direct
0.667 0.333 0.250 Ir
0.333 0.667 0.750 Ir
0.333 0.667 0.250 Ti
0.667 0.333 0.750 Ti
0.000 0.000 0.000 Co
0.000 0.000 0.500 Co
0.345 0.344 0.371 O
0.655 0.656 0.629 O
0.344 0.345 0.871 O
0.345 0.001 0.129 O
0.001 0.656 0.871 O
0.999 0.344 0.129 O
0.656 0.655 0.129 O
0.655 0.999 0.871 O
0.001 0.345 0.629 O
0.656 0.001 0.371 O
0.344 0.999 0.629 O
0.999 0.655 0.371 O
```